1:
CrTcI3: relaxed, GGA-PBE.

Cell lengths 5.559, 5.559, 5.559 Å; angles 90.00, 90.00, 90.00 degrees
Space group Pm-3m (No. 221)
Inequivalent atoms, fractional coordinates:
1 Cr 0.000 0.000 0.000 x1
2 Tc 0.500 0.500 0.500 x1
3 I 0.000 0.000 0.500 x3

2:
CrTcI3: relaxed, GGA-PBE.

Cell lengths 5.455, 5.455, 5.455 Å; angles 90.00, 90.00, 90.00 degrees
Space group Pm-3m (No. 221)
Inequivalent atoms, fractional coordinates:
1 Cr 0.000 0.000 0.000 x1
2 Tc 0.500 0.500 0.500 x1
3 I 0.000 0.500 0.500 x3

Result of the stability comparison: 1 is the least stable of them.

1:
Cr2Tc2I: relaxed, GGA-PBE.

Cell lengths 3.895, 3.895, 12.118 Å; angles 90.00, 90.00, 90.00 degrees
Space group I4/mmm (No. 139)
Inequivalent atoms, fractional coordinates:
1 Cr 0.000 0.000 0.133 x4
2 Tc 0.000 0.500 0.250 x4
3 I 0.000 0.000 0.500 x2

2:
Cr2Tc2I: relaxed, GGA-PBE.

Cell lengths 7.394, 7.394, 2.920 Å; angles 90.00, 90.00, 90.00 degrees
Space group P4/mbm (No. 127)
Inequivalent atoms, fractional coordinates:
1 Cr 0.137 0.363 0.000 x4
2 Tc 0.139 0.639 0.500 x4
3 I 0.000 0.000 0.000 x2

Result of the stability comparison: 2 is the least stable of them.

1:
CrTcI2: relaxed, GGA-PBE.

Cell lengths 6.665, 6.665, 6.665 Å; angles 90.00, 90.00, 90.00 degrees
Space group Fm-3m (No. 225)
Inequivalent atoms, fractional coordinates:
1 Cr 0.000 0.000 0.000 x4
2 Tc 0.000 0.000 0.500 x4
3 I 0.250 0.250 0.250 x8

2:
CrTcI2: relaxed, GGA-PBE.

Cell lengths 5.912, 5.912, 11.810 Å; angles 90.00, 90.00, 90.00 degrees
Space group I-42d (No. 122)
Inequivalent atoms, fractional coordinates:
1 Cr 0.000 0.000 0.000 x4
2 Tc 0.000 0.000 0.500 x4
3 I 0.239 0.250 0.125 x8

Result of the stability comparison: 1 is the least stable of them.

1:
Cr2TeI: relaxed, GGA-PBE.

Cell lengths 6.518, 6.518, 6.518 Å; angles 90.00, 90.00, 90.00 degrees
Space group Fm-3m (No. 225)
Inequivalent atoms, fractional coordinates:
1 Cr 0.250 0.250 0.250 x8
2 Te 0.000 0.000 0.000 x4
3 I 0.000 0.000 0.500 x4

2:
Cr2TeI: relaxed, GGA-PBE.

Cell lengths 6.456, 6.456, 12.638 Å; angles 90.00, 90.00, 90.00 degrees
Space group I-42d (No. 122)
Inequivalent atoms, fractional coordinates:
1 Cr 0.229 0.250 0.125 x8
2 Te 0.000 0.000 0.000 x4
3 I 0.000 0.000 0.500 x4

Result of the stability comparison: 1 is the least stable of them.